Density functional theory data (PBE-GGA) for CaU2P2O4 after structural relaxation.

Output
Density (g/cm3): 4.476
Total magnetic moment (μB per formula unit): 0.069
N(E_F) (states/eV/cell): 6.81
Formation energy (no corrections) (eV per formula unit): -16.66
Symmetry: I4/mmm (139)

abc: 8.457 8.457 8.457
angles: 140.95 140.95 56.41
Element x y z (fractional)
1 Ca 0.000 0.000 0.000
2 U 0.270 0.270 0.000
3 U 0.730 0.730 0.000
4 P 0.250 0.750 0.500
5 P 0.750 0.250 0.500
6 O 0.143 0.143 0.000
7 O 0.393 0.393 0.000
8 O 0.607 0.607 0.000
9 O 0.857 0.857 0.000



Density functional theory data (PBE-GGA) for K2Ti3TlO8 after structural relaxation.

Output
Density (g/cm3): 4.370
Total magnetic moment (μB per formula unit): 0.726
N(E_F) (states/eV/cell): 2.77
Formation energy (no corrections) (eV per formula unit): -32.74
Symmetry: R3m (160)

abc: 7.343 7.343 7.343
angles: 49.52 49.52 49.52
Element x y z (fractional)
1 K 0.000 0.000 0.000
2 K 0.364 0.364 0.364
3 Ti 0.363 0.363 0.874
4 Ti 0.363 0.874 0.363
5 Ti 0.874 0.363 0.363
6 Tl 0.758 0.758 0.758
7 O 0.101 0.101 0.545
8 O 0.101 0.545 0.101
9 O 0.141 0.141 0.141
10 O 0.181 0.623 0.623
11 O 0.545 0.101 0.101
12 O 0.584 0.584 0.584
13 O 0.623 0.181 0.623
14 O 0.623 0.623 0.181



Density functional theory data (PBE-GGA) for Ca2AlB2Rh5 after structural relaxation.

Output
Density (g/cm3): 7.574
Total magnetic moment (μB per formula unit): 0.000
N(E_F) (states/eV/cell): 5.15
ΔE_f (meV per atom): -669
Symmetry: P4/mbm (127)

abc: 9.703 9.703 2.996
angles: 90.00 90.00 90.00
Element x y z (fractional)
1 Ca 0.177 0.323 0.000
2 Ca 0.323 0.823 0.000
3 Ca 0.677 0.177 0.000
4 Ca 0.823 0.677 0.000
5 Al 0.000 0.000 0.000
6 Al 0.500 0.500 0.000
7 B 0.123 0.623 0.000
8 B 0.377 0.123 0.000
9 B 0.623 0.877 0.000
10 B 0.877 0.377 0.000
11 Rh 0.000 0.500 0.500
12 Rh 0.068 0.781 0.500
13 Rh 0.219 0.068 0.500
14 Rh 0.281 0.568 0.500
15 Rh 0.432 0.281 0.500
16 Rh 0.500 0.000 0.500
17 Rh 0.568 0.719 0.500
18 Rh 0.719 0.432 0.500
19 Rh 0.781 0.932 0.500
20 Rh 0.932 0.219 0.500



Density functional theory data (PBE-GGA) for LiEr2Ga4Cu3 after structural relaxation.

Output
Density (g/cm3): 7.775
Total magnetic moment (μB per formula unit): 0.000
N(E_F) (states/eV/cell): 5.39
ΔE_f (meV per atom): -401
Symmetry: P-4m2 (115)

abc: 4.023 4.023 10.703
angles: 90.00 90.00 90.00
Element x y z (fractional)
1 Li 0.000 0.000 0.000
2 Er 0.000 0.500 0.741
3 Er 0.500 0.000 0.259
4 Ga 0.000 0.000 0.500
5 Ga 0.000 0.500 0.141
6 Ga 0.500 0.000 0.859
7 Ga 0.500 0.500 0.500
8 Cu 0.000 0.500 0.364
9 Cu 0.500 0.000 0.636
10 Cu 0.500 0.500 0.000



Density functional theory data (PBE-GGA) for PuScCd2 after structural relaxation.

Output
Density (g/cm3): 9.172
Total magnetic moment (μB per formula unit): 5.371
Energy relative to the lowest polymorph listed for this composition (meV/atom): 0
N(E_F) (states/eV/cell): 7.22
ΔE_f (meV per atom): -135
Symmetry: P4/mmm (123)

abc: 3.159 3.159 9.322
angles: 90.00 90.00 90.00
Element x y z (fractional)
1 Pu 0.000 0.000 0.000
2 Sc 0.000 0.000 0.500
3 Cd 0.500 0.500 0.268
4 Cd 0.500 0.500 0.732



Density functional theory data (PBE-GGA) for Er2Ta2Si2C after structural relaxation.

Output
Density (g/cm3): 9.649
Total magnetic moment (μB per formula unit): 0.000
N(E_F) (states/eV/cell): 3.86
Formation energy (no corrections) (eV per formula unit): -4.10
Symmetry: I4/mmm (139)

abc: 7.970 7.970 7.970
angles: 149.30 149.30 43.97
Element x y z (fractional)
1 Er 0.168 0.168 0.000
2 Er 0.832 0.832 0.000
3 Ta 0.000 0.500 0.500
4 Ta 0.500 0.000 0.500
5 Si 0.374 0.374 0.000
6 Si 0.626 0.626 0.000
7 C 0.000 0.000 0.000



Density functional theory data (PBE-GGA) for NpFe2Au after structural relaxation.

Output
Density (g/cm3): 14.365
Total magnetic moment (μB per formula unit): 0.187
N(E_F) (states/eV/cell): 5.13
ΔE_f (meV per atom): 55
Symmetry: P4/mmm (123)

abc: 4.227 4.227 3.530
angles: 90.00 90.00 90.00
Element x y z (fractional)
1 Np 0.000 0.000 0.000
2 Fe 0.000 0.500 0.500
3 Fe 0.500 0.000 0.500
4 Au 0.500 0.500 0.000



Density functional theory data (PBE-GGA) for Zr2CoAu after structural relaxation.

Output
Density (g/cm3): 9.810
Total magnetic moment (μB per formula unit): 0.713
Energy relative to the lowest polymorph listed for this composition (meV/atom): 102
N(E_F) (states/eV/cell): 3.85
ΔE_f (meV per atom): -283
Symmetry: P4/mmm (123)

abc: 4.744 4.744 3.298
angles: 90.00 90.00 90.00
Element x y z (fractional)
1 Zr 0.000 0.500 0.000
2 Zr 0.500 0.000 0.000
3 Co 0.000 0.000 0.500
4 Au 0.500 0.500 0.500



Density functional theory data (PBE-GGA) for Ca3Zn2 after structural relaxation.

Output
Density (g/cm3): 2.888
Total magnetic moment (μB per formula unit): 0.000
N(E_F) (states/eV/cell): 3.54
ΔE_f (meV per atom): -184
Symmetry: Immm (71)

abc: 6.097 6.097 6.097
angles: 133.53 113.77 84.73
Element x y z (fractional)
1 Ca 0.000 0.000 0.000
2 Ca 0.297 0.797 0.500
3 Ca 0.703 0.203 0.500
4 Zn 0.306 0.500 0.806
5 Zn 0.694 0.500 0.194



Density functional theory data (PBE-GGA) for Pd3SBr after structural relaxation.

Output
Density (g/cm3): 6.639
Total magnetic moment (μB per formula unit): 0.000
Energy relative to the lowest polymorph listed for this composition (meV/atom): 733
N(E_F) (states/eV/cell): 5.07
Formation energy (no corrections) (eV per formula unit): 3.95
Symmetry: Pm-3m (221)

abc: 4.760 4.760 4.760
angles: 90.00 90.00 90.00
Element x y z (fractional)
1 Pd 0.000 0.000 0.500
2 Pd 0.000 0.500 0.000
3 Pd 0.500 0.000 0.000
4 S 0.500 0.500 0.500
5 Br 0.000 0.000 0.000



Density functional theory data (PBE-GGA) for AlRe2Cl after structural relaxation.

Output
Density (g/cm3): 10.126
Total magnetic moment (μB per formula unit): 0.000
Energy relative to the lowest polymorph listed for this composition (meV/atom): 383
N(E_F) (states/eV/cell): 2.35
Formation energy (no corrections) (eV per formula unit): 1.26
Symmetry: Cmm2 (35)

abc: 2.857 2.857 9.854
angles: 90.00 90.00 117.56
Element x y z (fractional)
1 Al 0.000 0.000 0.000
2 Re 0.000 0.000 0.431
3 Re 0.500 0.500 0.218
4 Cl 0.500 0.500 0.817



Density functional theory data (PBE-GGA) for Mg4PdRh after structural relaxation.

Output
Density (g/cm3): 4.155
Total magnetic moment (μB per formula unit): 0.000
Energy relative to the lowest polymorph listed for this composition (meV/atom): 144
N(E_F) (states/eV/cell): 1.19
ΔE_f (meV per atom): -334
Symmetry: P4/mmm (123)

abc: 4.402 4.402 6.323
angles: 90.00 90.00 90.00
Element x y z (fractional)
1 Mg 0.000 0.500 0.243
2 Mg 0.000 0.500 0.757
3 Mg 0.500 0.000 0.243
4 Mg 0.500 0.000 0.757
5 Pd 0.000 0.000 0.500
6 Rh 0.500 0.500 0.000



Density functional theory data (PBE-GGA) for Lu2NiRu after structural relaxation.

Output
Density (g/cm3): 11.576
Total magnetic moment (μB per formula unit): 0.000
Energy relative to the lowest polymorph listed for this composition (meV/atom): 0
N(E_F) (states/eV/cell): 1.31
ΔE_f (meV per atom): -540
Symmetry: P4/mmm (123)

abc: 3.339 3.339 6.559
angles: 90.00 90.00 90.00
Element x y z (fractional)
1 Lu 0.000 0.000 0.248
2 Lu 0.000 0.000 0.752
3 Ni 0.500 0.500 0.500
4 Ru 0.500 0.500 0.000



Density functional theory data (PBE-GGA) for PmErRu2 after structural relaxation.

Output
Density (g/cm3): 10.603
Total magnetic moment (μB per formula unit): 0.000
Energy relative to the lowest polymorph listed for this composition (meV/atom): 0
N(E_F) (states/eV/cell): 5.03
ΔE_f (meV per atom): -245
Symmetry: P4/mmm (123)

abc: 3.425 3.425 6.866
angles: 90.00 90.00 90.00
Element x y z (fractional)
1 Pm 0.000 0.000 0.000
2 Er 0.000 0.000 0.500
3 Ru 0.500 0.500 0.258
4 Ru 0.500 0.500 0.742



Density functional theory data (PBE-GGA) for VGaPt after structural relaxation.

Output
Density (g/cm3): 11.898
Total magnetic moment (μB per formula unit): 0.000
N(E_F) (states/eV/cell): 2.46
ΔE_f (meV per atom): -435
Symmetry: P-6m2 (187)

abc: 4.324 4.324 2.721
angles: 90.00 90.00 120.00
Element x y z (fractional)
1 V 0.000 0.000 0.000
2 Ga 0.667 0.333 0.500
3 Pt 0.333 0.667 0.500



Density functional theory data (PBE-GGA) for Tb4Sm4Tm after structural relaxation.

Output
Density (g/cm3): 7.981
Total magnetic moment (μB per formula unit): 0.000
Energy relative to the lowest polymorph listed for this composition (meV/atom): 0
N(E_F) (states/eV/cell): 13.44
ΔE_f (meV per atom): 18
Symmetry: I4/mmm (139)

abc: 8.012 8.012 8.012
angles: 95.73 95.73 143.17
Element x y z (fractional)
1 Tb 0.166 0.166 0.332
2 Tb 0.166 0.834 0.000
3 Tb 0.834 0.166 0.000
4 Tb 0.834 0.834 0.668
5 Sm 0.168 0.500 0.668
6 Sm 0.500 0.168 0.668
7 Sm 0.500 0.832 0.332
8 Sm 0.832 0.500 0.332
9 Tm 0.500 0.500 0.000



Density functional theory data (PBE-GGA) for Al2ZnHg after structural relaxation.

Output
Density (g/cm3): 7.019
Total magnetic moment (μB per formula unit): 0.000
Energy relative to the lowest polymorph listed for this composition (meV/atom): 116
N(E_F) (states/eV/cell): 1.78
ΔE_f (meV per atom): 214
Symmetry: Fm-3m (225)

abc: 4.748 4.748 4.748
angles: 60.00 60.00 60.00
Element x y z (fractional)
1 Al 0.250 0.250 0.250
2 Al 0.750 0.750 0.750
3 Zn 0.000 0.000 0.000
4 Hg 0.500 0.500 0.500



Density functional theory data (PBE-GGA) for UMoC after structural relaxation.

Output
Density (g/cm3): 12.843
Total magnetic moment (μB per formula unit): 0.000
Energy relative to the lowest polymorph listed for this composition (meV/atom): 42
N(E_F) (states/eV/cell): 5.45
ΔE_f (meV per atom): 31
Symmetry: P3m1 (156)

abc: 3.032 3.032 5.620
angles: 90.00 90.00 120.00
Element x y z (fractional)
1 U 0.000 0.000 0.000
2 Mo 0.667 0.333 0.498
3 C 0.333 0.667 0.705



Density functional theory data (PBE-GGA) for Li3Cd3In after structural relaxation.

Output
Density (g/cm3): 4.016
Total magnetic moment (μB per formula unit): 0.000
Energy relative to the lowest polymorph listed for this composition (meV/atom): 493
N(E_F) (states/eV/cell): 6.82
ΔE_f (meV per atom): 270
Symmetry: Pm-3n (223)

abc: 7.313 7.313 7.313
angles: 90.00 90.00 90.00
Element x y z (fractional)
1 Li 0.000 0.250 0.500
2 Li 0.000 0.750 0.500
3 Li 0.250 0.500 0.000
4 Li 0.500 0.000 0.250
5 Li 0.500 0.000 0.750
6 Li 0.750 0.500 0.000
7 Cd 0.000 0.500 0.250
8 Cd 0.000 0.500 0.750
9 Cd 0.250 0.000 0.500
10 Cd 0.500 0.250 0.000
11 Cd 0.500 0.750 0.000
12 Cd 0.750 0.000 0.500
13 In 0.000 0.000 0.000
14 In 0.500 0.500 0.500



Density functional theory data (PBE-GGA) for La4Pm5In2 after structural relaxation.

Output
Density (g/cm3): 6.399
Total magnetic moment (μB per formula unit): 0.302
N(E_F) (states/eV/cell): 16.37
ΔE_f (meV per atom): 140
Symmetry: R-3m (166)

abc: 16.175 16.175 16.175
angles: 19.00 19.00 19.00
Element x y z (fractional)
1 La 0.075 0.075 0.075
2 La 0.228 0.228 0.228
3 La 0.772 0.772 0.772
4 La 0.925 0.925 0.925
5 Pm 0.000 0.000 0.000
6 Pm 0.149 0.149 0.149
7 Pm 0.305 0.305 0.305
8 Pm 0.695 0.695 0.695
9 Pm 0.851 0.851 0.851
10 In 0.379 0.379 0.379
11 In 0.621 0.621 0.621



Density functional theory data (PBE-GGA) for InAg2Pt after structural relaxation.

Output
Density (g/cm3): 11.993
Total magnetic moment (μB per formula unit): 0.000
N(E_F) (states/eV/cell): 1.28
ΔE_f (meV per atom): -56
Symmetry: Pmmm (47)

abc: 2.982 4.297 5.680
angles: 90.00 90.00 90.00
Element x y z (fractional)
1 In 0.000 0.000 0.000
2 Ag 0.500 0.500 0.257
3 Ag 0.500 0.500 0.743
4 Pt 0.000 0.000 0.500



Density functional theory data (PBE-GGA) for DySc2AlC after structural relaxation.

Output
Density (g/cm3): 4.830
Total magnetic moment (μB per formula unit): 0.000
N(E_F) (states/eV/cell): 1.30
ΔE_f (meV per atom): -505
Symmetry: P4/mmm (123)

abc: 4.546 4.546 4.847
angles: 90.00 90.00 90.00
Element x y z (fractional)
1 Dy 0.000 0.000 0.000
2 Sc 0.000 0.500 0.500
3 Sc 0.500 0.000 0.500
4 Al 0.500 0.500 0.000
5 C 0.000 0.000 0.500



Density functional theory data (PBE-GGA) for Ca2HoSe3 after structural relaxation.

Output
Density (g/cm3): 5.294
Total magnetic moment (μB per formula unit): 0.000
Energy relative to the lowest polymorph listed for this composition (meV/atom): 0
N(E_F) (states/eV/cell): 5.62
Formation energy (no corrections) (eV per formula unit): -11.48
Symmetry: Fddd (70)

abc: 13.733 13.095 7.184
angles: 79.44 69.62 30.95
Element x y z (fractional)
1 Ca 0.042 0.042 0.208
2 Ca 0.124 0.124 0.626
3 Ca 0.208 0.208 0.042
4 Ca 0.374 0.374 0.876
5 Ca 0.626 0.626 0.124
6 Ca 0.792 0.792 0.958
7 Ca 0.876 0.876 0.374
8 Ca 0.958 0.958 0.792
9 Ho 0.292 0.292 0.458
10 Ho 0.458 0.458 0.292
11 Ho 0.542 0.542 0.708
12 Ho 0.708 0.708 0.542
13 Se 0.040 0.541 0.216
14 Se 0.131 0.619 0.619
15 Se 0.216 0.703 0.040
16 Se 0.297 0.784 0.459
17 Se 0.381 0.869 0.869
18 Se 0.459 0.960 0.297
19 Se 0.541 0.040 0.703
20 Se 0.619 0.131 0.131
21 Se 0.703 0.216 0.541
22 Se 0.784 0.297 0.960
23 Se 0.869 0.381 0.381
24 Se 0.960 0.459 0.784



Density functional theory data (PBE-GGA) for TaGe2S8 after structural relaxation.

Output
Density (g/cm3): 3.411
Total magnetic moment (μB per formula unit): 0.000
N(E_F) (states/eV/cell): 2.06
Formation energy (no corrections) (eV per formula unit): -1.70
Symmetry: C2/m (12)

abc: 7.465 7.465 5.422
angles: 96.69 96.69 71.62
Element x y z (fractional)
1 Ta 0.000 0.000 0.000
2 Ge 0.185 0.185 0.598
3 Ge 0.815 0.815 0.402
4 S 0.137 0.754 0.314
5 S 0.191 0.191 0.187
6 S 0.246 0.863 0.686
7 S 0.344 0.344 0.811
8 S 0.656 0.656 0.189
9 S 0.754 0.137 0.314
10 S 0.809 0.809 0.813
11 S 0.863 0.246 0.686



Density functional theory data (PBE-GGA) for UAl2Ag after structural relaxation.

Output
Density (g/cm3): 9.259
Total magnetic moment (μB per formula unit): 0.360
Energy relative to the lowest polymorph listed for this composition (meV/atom): 48
N(E_F) (states/eV/cell): 3.97
ΔE_f (meV per atom): -43
Symmetry: R-3m (166)

abc: 10.062 10.062 10.062
angles: 16.51 16.51 16.51
Element x y z (fractional)
1 U 0.000 0.000 0.000
2 Al 0.245 0.245 0.245
3 Al 0.755 0.755 0.755
4 Ag 0.500 0.500 0.500